VASP calculation (PBE) on a relaxed structure of Ti2GeIr2.

a b c (Å): 7.3880 7.3880 2.9477
angles (deg): 90.00 90.00 90.00
Fractional coordinates of all 10 atoms:
Ge: 0.5000 0.5000 0.0000
Ir: 0.3663 0.8663 0.0000
Ir: 0.6337 0.1337 0.0000
Ir: 0.1337 0.3663 0.0000
Ti: 0.1623 0.6623 0.5000
Ge: 0.0000 0.0000 0.0000
Ti: 0.8377 0.3377 0.5000
Ir: 0.8663 0.6337 0.0000
Ti: 0.3377 0.1623 0.5000
Ti: 0.6623 0.8377 0.5000

## Properties
- Fermi-level density of states (states/eV/f.u.) = 0.76
- calculated total energy (eV per cell) = -82.5
- formation enthalpy at 0 K (eV per atom) = -0.62